No. 1
Density functional theory data (PBE) for a relaxed structure of SmTaOs.

The structure in extended XYZ format:
```
6
Lattice="-1.6088 1.6088 12.4765 1.6088 -1.6088 12.4765 1.6088 1.6088 -12.4765" Properties=species:S:1:pos:R:3 pbc="T T T"
Sm 0.0000 0.0000 1.8324
Sm 0.0000 0.0000 23.1206
Ta 0.0000 0.0000 5.3119
Ta 0.0000 0.0000 19.6411
Os 0.0000 0.0000 8.6290
Os 0.0000 0.0000 16.3241
```

Calculated values
- Energy of formation: -0.201 eV per atom
- Mass density: 13.4 g cm⁻³
- Polymorph energy (0 for the lowest one): 5.2 meV/atom
- Total DFT energy (no corrections): -56.8 eV for the cell shown
- D(E_F): 4.5 states/eV per cell


No. 2
Density functional theory data (PBE) for a relaxed structure of SrTi2Bi2.

The structure in extended XYZ format:
```
5
Lattice="-2.1649 2.1649 7.3007 2.1649 -2.1649 7.3007 2.1649 2.1649 -7.3007" Properties=species:S:1:pos:R:3 pbc="T T T"
Sr 0.0000 0.0000 0.0000
Ti 2.1649 0.0000 3.6503
Ti 0.0000 2.1649 3.6503
Bi 0.0000 0.0000 5.5277
Bi 0.0000 0.0000 9.0736
```

Calculated values
- Energy of formation: -0.312 eV per atom
- Mass density: 7.3 g cm⁻³
- Polymorph energy (0 for the lowest one): 0.0 meV/atom
- Total DFT energy (no corrections): -26.8 eV for the cell shown
- D(E_F): 6.6 states/eV per cell


No. 3
Density functional theory data (PBE) for a relaxed structure of Dy2YHg6.

The structure in extended XYZ format:
```
18
Lattice="7.1920 -5.8518 0.0000 7.1920 5.8518 0.0000 -0.9440 0.0000 5.3471" Properties=species:S:1:pos:R:3 pbc="T T T"
Dy 2.3170 1.4681 0.4474
Dy 1.8450 -1.4681 3.1209
Dy 11.5949 1.4681 2.2262
Dy 11.1229 -1.4681 4.8998
Y 6.4839 1.4645 4.0103
Y 6.9560 -1.4645 1.3368
Hg 5.9527 4.3893 2.5171
Hg 3.3898 1.4640 3.4106
Hg 7.9592 4.3893 0.1565
Hg 5.4005 1.4700 1.0476
Hg 3.8618 -1.4640 0.7370
Hg 8.5114 1.4700 1.6260
Hg 4.9285 -1.4700 3.7211
Hg 9.5781 1.4640 4.6101
Hg 8.0394 -1.4700 4.2996
Hg 5.4807 -4.3893 5.1906
Hg 10.0501 -1.4640 1.9365
Hg 7.4872 -4.3893 2.8301
```

Calculated values
- Energy of formation: -0.401 eV per atom
- Mass density: 11.9 g cm⁻³
- Total DFT energy (no corrections): -42.2 eV for the cell shown
- D(E_F): 8.0 states/eV per cell